1.
A relaxed Cr2PdC crystal, computed with GGA-PBE.

Output
DFT formation energy = -0.044 eV per atom
space-group type = R3m

Geometry as POSCAR:
```
Cr2PdC
1.0
-2.436 -0.719 1.287
-1.095 -2.602 -0.376
2.142 -3.244 5.401
Pd Cr C
1 2 1
direct
0.500 0.500 0.500
0.279 0.279 0.162
0.055 0.055 0.837
0.666 0.666 0.001
```

2.
A relaxed TcAgRu2 crystal, computed with GGA-PBE.

Output
DFT formation energy = 0.726 eV per atom
space-group type = F-43m
energy above the lowest structure with this stoichiometry = 0.531 eV per atom

Geometry as POSCAR:
```
TcAgRu2
1.0
4.412 0.000 0.000
2.206 3.821 0.000
2.206 1.274 3.602
Ru Ag Tc
2 1 1
direct
0.750 0.750 0.750
0.000 0.000 0.000
0.500 0.500 0.500
0.250 0.250 0.250
```

3.
A relaxed Pm10SmSc4 crystal, computed with GGA-PBE.

Output
DFT formation energy = 0.538 eV per atom
space-group type = I4/m

Geometry as POSCAR:
```
Pm10SmSc4
1.0
-4.373 -5.747 -3.500
2.979 -8.392 0.856
-6.460 -3.706 4.956
Pm Sm Sc
10 1 4
direct
0.087 0.348 0.880
0.967 0.120 0.348
0.750 0.500 0.500
0.913 0.652 0.120
0.565 0.120 0.348
0.250 0.500 0.500
0.435 0.880 0.652
0.033 0.880 0.652
0.314 0.652 0.120
0.686 0.348 0.880
0.000 0.000 0.000
0.432 0.859 0.277
0.291 0.277 0.141
0.568 0.141 0.723
0.709 0.723 0.859
```

4.
A relaxed Ca2TbHg7 crystal, computed with GGA-PBE.

Output
DFT formation energy = -0.318 eV per atom
space-group type = P3m1

Geometry as POSCAR:
```
Ca2TbHg7
1.0
5.066 0.000 0.000
-2.533 4.387 0.000
0.000 0.000 12.210
Hg Ca Tb
7 2 1
direct
0.333 0.667 0.133
0.000 0.000 0.753
0.667 0.333 0.960
0.333 0.667 0.883
0.333 0.667 0.373
0.667 0.333 0.541
0.000 0.000 0.430
0.333 0.667 0.632
0.667 0.333 0.258
0.000 0.000 0.021
```

5.
A relaxed LiLa2As2 crystal, computed with GGA-PBE.

Output
DFT formation energy = -1.157 eV per atom
space-group type = P4/mbm
energy above the lowest structure with this stoichiometry = 0.000 eV per atom

Geometry as POSCAR:
```
LiLa2As2
1.0
7.996 0.000 0.000
0.000 7.996 0.000
0.000 0.000 4.092
As La Li
4 4 2
direct
0.840 0.660 0.000
0.160 0.340 0.000
0.660 0.160 0.000
0.340 0.840 0.000
0.650 0.850 0.500
0.850 0.350 0.500
0.350 0.150 0.500
0.150 0.650 0.500
0.500 0.500 0.000
0.000 0.000 0.000
```

6.
A relaxed AgAsRh crystal, computed with GGA-PBE.

Output
DFT formation energy = -0.117 eV per atom
space-group type = I4mm
energy above the lowest structure with this stoichiometry = 0.071 eV per atom

Geometry as POSCAR:
```
AgAsRh
1.0
5.441 0.004 -0.018
3.563 4.112 0.018
-4.494 -2.074 2.259
Ag As Rh
1 1 1
direct
0.999 0.999 0.000
0.696 0.696 0.000
0.305 0.305 0.000
```

no.,magnetic moment (μB per atom)
1,0.008
2,0.427
3,0.000
4,0.000
5,0.161
6,0.000